Here is crystalline Li3Ta3Pb2O12 at its relaxed geometry from the Open Quantum Materials Database. Energies are from PBE.

Cell lengths 10.4432, 10.4432, 10.4432 Å; angles 109.47, 109.47, 109.47 degrees
Atoms (fractional coordinates):
O (0.0830, 0.1381, 0.3958)
O (0.1872, 0.9449, 0.5830)
O (0.3619, 0.1042, 0.9170)
O (0.1872, 0.7423, 0.6042)
O (0.7423, 0.1872, 0.1042)
O (0.6872, 0.6042, 0.7423)
O (0.8619, 0.4449, 0.7577)
O (0.3128, 0.3958, 0.2577)
O (0.2577, 0.8128, 0.8958)
O (0.4170, 0.6042, 0.8619)
O (0.8128, 0.2577, 0.3958)
O (0.3958, 0.5830, 0.6381)
O (0.9449, 0.1872, 0.0830)
O (0.7577, 0.3619, 0.9449)
O (0.3128, 0.4170, 0.0551)
O (0.5551, 0.9170, 0.8128)
O (0.6381, 0.8958, 0.0830)
O (0.2577, 0.9449, 0.3619)
O (0.8619, 0.9170, 0.1042)
O (0.2423, 0.1042, 0.1872)
O (0.1042, 0.3619, 0.4170)
O (0.6042, 0.6872, 0.2423)
O (0.6042, 0.4170, 0.3619)
O (0.7423, 0.0551, 0.6381)
O (0.6381, 0.2423, 0.5551)
O (0.3958, 0.3128, 0.7577)
O (0.1381, 0.5551, 0.2423)
O (0.2423, 0.6381, 0.0551)
O (0.9170, 0.8619, 0.6042)
O (0.3619, 0.7577, 0.4449)
O (0.5830, 0.3958, 0.1381)
O (0.5551, 0.1381, 0.7423)
O (0.9170, 0.5551, 0.3128)
O (0.4170, 0.3128, 0.5551)
O (0.4449, 0.0830, 0.1872)
O (0.7577, 0.8958, 0.8128)
O (0.8958, 0.7577, 0.3128)
O (0.5830, 0.6872, 0.4449)
O (0.6872, 0.5830, 0.9449)
O (0.9449, 0.2577, 0.8619)
O (0.0830, 0.4449, 0.6872)
O (0.1381, 0.0830, 0.8958)
O (0.0551, 0.8128, 0.9170)
O (0.8128, 0.0551, 0.4170)
O (0.8958, 0.6381, 0.5830)
O (0.0551, 0.7423, 0.1381)
O (0.1042, 0.2423, 0.6872)
O (0.4449, 0.8619, 0.2577)
Ta (0.6250, 0.3750, 0.7500)
Ta (0.3750, 0.6250, 0.2500)
Ta (0.2500, 0.8750, 0.1250)
Ta (0.2500, 0.3750, 0.6250)
Ta (0.7500, 0.6250, 0.3750)
Ta (0.1250, 0.8750, 0.7500)
Ta (0.8750, 0.2500, 0.6250)
Ta (0.3750, 0.2500, 0.1250)
Ta (0.8750, 0.1250, 0.2500)
Ta (0.6250, 0.7500, 0.8750)
Ta (0.1250, 0.7500, 0.3750)
Ta (0.7500, 0.1250, 0.8750)
Li (0.3750, 0.1250, 0.7500)
Li (0.2500, 0.6250, 0.8750)
Li (0.3750, 0.7500, 0.6250)
Li (0.8750, 0.6250, 0.7500)
Li (0.7500, 0.8750, 0.6250)
Li (0.6250, 0.2500, 0.3750)
Li (0.2500, 0.1250, 0.3750)
Li (0.6250, 0.8750, 0.2500)
Li (0.1250, 0.2500, 0.8750)
Li (0.7500, 0.3750, 0.1250)
Li (0.8750, 0.7500, 0.1250)
Li (0.1250, 0.3750, 0.2500)
Pb (0.0000, 0.0000, 0.5000)
Pb (0.0000, 0.5000, 0.5000)
Pb (0.5000, 0.5000, 0.5000)
Pb (0.5000, 0.5000, 0.0000)
Pb (0.0000, 0.0000, 0.0000)
Pb (0.5000, 0.0000, 0.0000)
Pb (0.0000, 0.5000, 0.0000)
Pb (0.5000, 0.0000, 0.5000)

## Properties
- M_tot (μB/atom) = 0.0000
- crystal system = cubic
- E (eV/atom) = -7.21
- space group = Ia-3d

=====

Here is crystalline HoLuGe2Pd at its relaxed geometry from the Open Quantum Materials Database. Energies are from PBE.

Cell lengths 5.6971, 5.6971, 10.1360 Å; angles 115.11, 115.11, 44.23 degrees
Each line ends with the local moment (μB).
Atoms (fractional coordinates):
Pd (0.7225, 0.7225, 0.3580)  0.02
Pd (0.2775, 0.2775, 0.6420)  0.02
Ge (0.6357, 0.6357, 0.5721)  0.00
Ge (0.4733, 0.4733, 0.1183)  0.00
Ge (0.3643, 0.3643, 0.4279)  0.00
Ge (0.5267, 0.5267, 0.8817)  0.00
Ho (0.1836, 0.1836, 0.1064)  0.11
Ho (0.8164, 0.8164, 0.8936)  0.11
Lu (0.9946, 0.9946, 0.6719)  0.04
Lu (0.0054, 0.0054, 0.3281)  0.04

## Properties
- M_tot (μB/atom) = 0.0522
- crystal system = monoclinic
- E (eV/atom) = -5.61
- space group = C2/m

=====

Here is crystalline Ni5W7 at its relaxed geometry from the Open Quantum Materials Database. Energies are from PBE.

Cell lengths 4.9685, 4.9685, 15.7840 Å; angles 90.00, 90.00, 120.00 degrees
Atoms (fractional coordinates):
Ni (0.8406, 0.6811, 0.7500)
Ni (0.3189, 0.1594, 0.7500)
Ni (0.6667, 0.3333, 0.8671)
Ni (0.6811, 0.8406, 0.2500)
Ni (0.3333, 0.6667, 0.3671)
Ni (0.1594, 0.3189, 0.2500)
Ni (0.8406, 0.1594, 0.7500)
Ni (0.6667, 0.3333, 0.6329)
Ni (0.3333, 0.6667, 0.1329)
Ni (0.1594, 0.8406, 0.2500)
W (0.6667, 0.3333, 0.1623)
W (0.5000, 0.5000, 0.0000)
W (0.0000, 0.0000, 0.3973)
W (0.6667, 0.3333, 0.3377)
W (0.0000, 0.0000, 0.8973)
W (0.0000, 0.5000, 0.5000)
W (0.5000, 0.0000, 0.5000)
W (0.5000, 0.5000, 0.5000)
W (0.3333, 0.6667, 0.6623)
W (0.0000, 0.0000, 0.6027)
W (0.5000, 0.0000, 0.0000)
W (0.0000, 0.0000, 0.1027)
W (0.3333, 0.6667, 0.8377)
W (0.0000, 0.5000, 0.0000)

## Properties
- M_tot (μB/atom) = 0.0004
- excess energy over the best structure of this formula in the dataset (meV/atom) = 2
- energy of formation from the pure elements (eV/atom) = 0.224
- crystal system = hexagonal
- E (eV/atom) = -9.66
- space group = P6_3/mmc

=====

Here is crystalline AgBr2 at its relaxed geometry from the Open Quantum Materials Database. Energies are from PBE.

Cell lengths 3.7260, 6.8843, 8.2826 Å; angles 90.00, 91.19, 90.00 degrees
Atoms (fractional coordinates):
Ag (0.1627, 0.7500, 0.7763)
Ag (0.8373, 0.2500, 0.2237)
Br (0.6632, 0.4873, 0.7692)
Br (0.6632, 0.0127, 0.7692)
Br (0.3368, 0.9873, 0.2308)
Br (0.3368, 0.5127, 0.2308)

## Properties
- crystal system = monoclinic
- E (eV/atom) = -2.27
- space group = P2_1/m

=====

Here is crystalline HfP2 at its relaxed geometry from the Open Quantum Materials Database. Energies are from PBE.

Cell lengths 8.0013, 8.0013, 8.0013 Å; angles 60.00, 60.00, 60.00 degrees
Atoms (fractional coordinates):
P (0.3750, 0.8750, 0.3750)
P (0.3750, 0.3750, 0.8750)
P (0.8750, 0.3750, 0.3750)
P (0.3750, 0.3750, 0.3750)
Hf (0.5000, 0.5000, 0.5000)
Hf (0.2500, 0.2500, 0.2500)

## Properties
- M_tot (μB/atom) = 0.0035
- crystal system = cubic
- E (eV/atom) = -6.45
- space group = Fd-3m

=====

Here is crystalline Sc2GaTc at its relaxed geometry from the Open Quantum Materials Database. Energies are from PBE.

Cell lengths 4.6502, 6.5814, 13.9522 Å; angles 90.00, 90.00, 90.00 degrees
Atoms (fractional coordinates):
Sc (0.9994, 0.2500, 0.1667)
Sc (0.4994, 0.2500, 0.3333)
Sc (0.5006, 0.2500, 0.6667)
Sc (0.9994, 0.7500, 0.1667)
Sc (0.0006, 0.7500, 0.8333)
Sc (0.4994, 0.7500, 0.3333)
Sc (0.5000, 0.2500, 0.0000)
Sc (0.0000, 0.2500, 0.5000)
Sc (0.5000, 0.7500, 0.0000)
Sc (0.5006, 0.7500, 0.6667)
Sc (0.0000, 0.7500, 0.5000)
Sc (0.0006, 0.2500, 0.8333)
Ga (0.4984, 0.5000, 0.1667)
Ga (0.9984, 0.0000, 0.3333)
Ga (0.0000, 0.0000, 0.0000)
Ga (0.5016, 0.5000, 0.8333)
Ga (0.0016, 0.0000, 0.6667)
Ga (0.5000, 0.5000, 0.5000)
Tc (0.0005, 0.5000, 0.3333)
Tc (0.0000, 0.5000, 0.0000)
Tc (0.9995, 0.5000, 0.6667)
Tc (0.4995, 0.0000, 0.8333)
Tc (0.5005, 0.0000, 0.1667)
Tc (0.5000, 0.0000, 0.5000)

## Properties
- M_tot (μB/atom) = 0.0008
- crystal system = orthorhombic
- E (eV/atom) = -6.95
- space group = Pnnm

=====

Here is crystalline Y2Mo4Pb3N3 at its relaxed geometry from the Open Quantum Materials Database. Energies are from PBE.

Cell lengths 5.8892, 5.8892, 14.2421 Å; angles 101.27, 101.27, 60.10 degrees
Atoms (fractional coordinates):
N (0.8365, 0.3315, 0.0005)
N (0.1635, 0.6685, 0.9995)
N (0.3315, 0.8365, 0.5005)
N (0.6685, 0.1635, 0.4995)
N (0.5000, 0.0000, 0.0000)
N (0.0000, 0.5000, 0.5000)
Mo (0.9708, 0.8247, 0.4334)
Mo (0.6876, 0.8648, 0.5657)
Mo (0.1753, 0.0292, 0.0666)
Mo (0.8648, 0.6876, 0.0657)
Mo (0.3124, 0.1352, 0.4343)
Mo (0.0292, 0.1753, 0.5666)
Mo (0.1352, 0.3124, 0.9343)
Mo (0.8247, 0.9708, 0.9334)
Pb (0.2007, 0.4219, 0.2534)
Pb (0.0394, 0.9606, 0.7500)
Pb (0.4219, 0.2007, 0.7534)
Pb (0.7993, 0.5781, 0.7466)
Pb (0.5781, 0.7993, 0.2466)
Pb (0.9606, 0.0394, 0.2500)
Y (0.4707, 0.6428, 0.9049)
Y (0.3572, 0.5293, 0.5951)
Y (0.5293, 0.3572, 0.0951)
Y (0.6428, 0.4707, 0.4049)

## Properties
- M_tot (μB/atom) = 0.0004
- crystal system = monoclinic
- E (eV/atom) = -7.98
- space group = C2/c

=====

Here is crystalline CsU2F8 at its relaxed geometry from the Open Quantum Materials Database. Energies are from PBE.

Cell lengths 6.5726, 6.5726, 4.4427 Å; angles 94.66, 94.66, 114.28 degrees
Each line ends with the local moment (μB).
Atoms (fractional coordinates):
F (0.9557, 0.6664, 0.4400)  -0.01
F (0.5949, 0.5949, 0.7727)  -0.01
F (0.3336, 0.0443, 0.5600)  -0.01
F (0.4051, 0.4051, 0.2273)  -0.01
F (0.2701, 0.7298, 0.0000)  -0.01
F (0.7298, 0.2701, 0.0000)  -0.01
F (0.0443, 0.3336, 0.5600)  -0.01
F (0.6664, 0.9557, 0.4400)  -0.01
U (0.3252, 0.6748, 0.5000)  2.46
U (0.6748, 0.3252, 0.5000)  2.46
Cs (0.0000, 0.0000, 0.0000)  0.00

## Properties
- M_tot (μB/atom) = 0.4545
- crystal system = monoclinic
- E (eV/atom) = -6.93
- space group = C2/m

=====

Here is crystalline GdErAlCo2 at its relaxed geometry from the Open Quantum Materials Database. Energies are from PBE.

Cell lengths 5.3461, 5.3461, 5.3461 Å; angles 135.42, 118.77, 78.84 degrees
Atoms (fractional coordinates):
Co (0.2747, 0.4996, 0.7751)
Co (0.7245, 0.4996, 0.2249)
Al (0.0005, 0.0005, 0.0000)
Gd (0.7051, 0.2051, 0.5000)
Er (0.2953, 0.7953, 0.5000)

## Properties
- M_tot (μB/atom) = 0.0006
- excess energy over the best structure of this formula in the dataset (meV/atom) = 0
- crystal system = orthorhombic
- E (eV/atom) = -5.82
- space group = Imm2

=====

Here is crystalline Zr3Sb4Pd4 at its relaxed geometry from the Open Quantum Materials Database. Energies are from PBE.

Cell lengths 6.8517, 4.2352, 8.0200 Å; angles 90.00, 91.07, 90.00 degrees
Atoms (fractional coordinates):
Pd (0.3817, 0.7500, 0.9384)
Pd (0.1640, 0.2500, 0.4312)
Pd (0.6327, 0.2500, 0.0632)
Pd (0.8430, 0.7500, 0.5674)
Zr (0.4625, 0.7500, 0.3045)
Zr (0.9747, 0.7500, 0.2038)
Zr (0.5323, 0.2500, 0.6990)
Sb (0.2320, 0.2500, 0.0962)
Sb (0.7523, 0.2500, 0.3824)
Sb (0.2393, 0.7500, 0.6239)
Sb (0.7834, 0.7500, 0.8874)

## Properties
- M_tot (μB/atom) = 0.0011
- excess energy over the best structure of this formula in the dataset (meV/atom) = 40
- crystal system = monoclinic
- E (eV/atom) = -6.42
- space group = Pm